[1]
A relaxed structure of RbYSbI2. Source: Alexandria, functional PBE.

Cell lengths 6.142, 6.142, 6.257 Å; angles 90.00, 90.00, 90.00 degrees
Fractional positions:
Y: 0.500 0.500 0.500
Rb: 0.000 0.000 0.000
I: 0.000 0.500 0.000
I: 0.500 0.000 0.000
Sb: 0.000 0.000 0.500

For the energy above the most stable polymorph in this dataset, the calculation gives 1.224 eV per atom. The density of states at the Fermi level is 0.2989 states/eV per atom. The calculation puts the total magnetization at 0.000 μB per formula unit.

[2]
A relaxed structure of RbYSbI2. Source: Alexandria, functional PBE.

Cell lengths 6.132, 6.132, 6.002 Å; angles 90.00, 90.00, 90.00 degrees
Last column: magnetic moment on the atom in μB.
Fractional positions:
I: 0.000 0.500 0.000  0.05
I: 0.500 0.000 0.000  0.05
Y: 0.000 0.000 0.000  0.00
Sb: 0.000 0.000 0.500  0.29
Rb: 0.500 0.500 0.500  0.00

For the energy above the most stable polymorph in this dataset, the calculation gives 0.000 eV per atom. The density of states at the Fermi level is 0.8029 states/eV per atom. The calculation puts the total magnetization at 0.989 μB per formula unit.

[3]
A relaxed structure of RbYSb2I. Source: Alexandria, functional PBE.

Cell lengths 5.893, 5.893, 6.284 Å; angles 90.00, 90.00, 90.00 degrees
Last column: magnetic moment on the atom in μB.
Fractional positions:
Sb: 0.000 0.500 0.000  0.13
Sb: 0.500 0.000 0.000  0.13
Y: 0.000 0.000 0.000  0.01
I: 0.000 0.000 0.500  0.07
Rb: 0.500 0.500 0.500  0.00

For the energy above the most stable polymorph in this dataset, the calculation gives 0.000 eV per atom. The density of states at the Fermi level is 1.0521 states/eV per atom. The calculation puts the total magnetization at 0.807 μB per formula unit.

[4]
A relaxed structure of RbZnSbI2. Source: Alexandria, functional PBE.

Cell lengths 6.163, 6.163, 5.242 Å; angles 90.00, 90.00, 90.00 degrees
Last column: magnetic moment on the atom in μB.
Fractional positions:
Zn: 0.000 0.000 0.000  -0.01
I: 0.000 0.500 0.000  0.08
I: 0.500 0.000 0.000  0.08
Rb: 0.500 0.500 0.500  0.01
Sb: 0.000 0.000 0.500  0.56

For the energy above the most stable polymorph in this dataset, the calculation gives 0.000 eV per atom. The density of states at the Fermi level is 0.4922 states/eV per atom. The calculation puts the total magnetization at 1.675 μB per formula unit.

[5]
A relaxed structure of RbZnSbI2. Source: Alexandria, functional PBE.

Cell lengths 6.932, 6.932, 7.912 Å; angles 90.00, 90.00, 90.00 degrees
Last column: magnetic moment on the atom in μB.
Fractional positions:
Zn: 0.500 0.500 0.500  -0.03
Rb: 0.000 0.000 0.000  0.01
I: 0.000 0.500 0.000  0.25
I: 0.500 0.000 0.000  0.25
Sb: 0.000 0.000 0.500  1.01

For the energy above the most stable polymorph in this dataset, the calculation gives 0.755 eV per atom. The density of states at the Fermi level is 2.3008 states/eV per atom. The calculation puts the total magnetization at 3.512 μB per formula unit.

[6]
A relaxed structure of Rb2ZnSbI6. Source: Alexandria, functional PBE.

Cell lengths 8.506, 8.506, 8.466 Å; angles 59.85, 59.85, 90.00 degrees
Fractional positions:
Rb: 0.750 0.250 0.500
Rb: 0.250 0.750 0.500
I: 0.746 0.746 0.000
I: 0.254 0.746 0.000
I: 0.257 0.257 0.485
I: 0.743 0.743 0.515
I: 0.746 0.254 0.000
I: 0.254 0.254 0.000
Zn: 0.500 0.500 0.000
Sb: 0.000 0.000 0.000

The density of states at the Fermi level is 0.2930 states/eV per atom. The total energy comes out at -2.426 eV/atom. The calculation puts the total magnetization at 0.000 μB per formula unit.

[7]
A relaxed structure of RbZrSb2I. Source: Alexandria, functional PBE.

Cell lengths 5.902, 5.902, 6.099 Å; angles 90.00, 90.00, 90.00 degrees
Last column: magnetic moment on the atom in μB.
Fractional positions:
I: 0.000 0.000 0.500  -0.08
Sb: 0.000 0.500 0.000  -0.23
Sb: 0.500 0.000 0.000  -0.23
Zr: 0.500 0.500 0.500  1.29
Rb: 0.000 0.000 0.000  -0.03

For the energy above the most stable polymorph in this dataset, the calculation gives 1.772 eV per atom. The density of states at the Fermi level is 1.2228 states/eV per atom. The calculation puts the total magnetization at 0.669 μB per formula unit.

[8]
A relaxed structure of RbZrSbI2. Source: Alexandria, functional PBE.

Cell lengths 6.424, 6.424, 6.553 Å; angles 90.00, 90.00, 90.00 degrees
Last column: magnetic moment on the atom in μB.
Fractional positions:
Sb: 0.000 0.000 0.500  -0.84
Zr: 0.500 0.500 0.500  1.63
I: 0.000 0.500 0.000  -0.09
I: 0.500 0.000 0.000  -0.09
Rb: 0.000 0.000 0.000  -0.05

For the energy above the most stable polymorph in this dataset, the calculation gives 1.546 eV per atom. The density of states at the Fermi level is 0.9259 states/eV per atom. The calculation puts the total magnetization at 0.005 μB per formula unit.